Record 1
First-principles (PBE) data for an optimized crystal structure of HoMnNiP2, as listed in Alexandria via LeMat-Bulk. Values from VASP.

Structure (Quantum ESPRESSO input):
```
&SYSTEM
  ibrav = 0, nat = 5, ntyp = 4
/
ATOMIC_SPECIES
Ho 164.93 Ho.upf
Mn 54.94 Mn.upf
Ni 58.69 Ni.upf
P 30.97 P.upf
ATOMIC_POSITIONS crystal
Ho 0.0000 0.0000 0.0000
Mn 0.7500 0.2500 0.5000
Ni 0.2500 0.7500 0.5000
P 0.3751 0.3751 0.0000
P 0.6249 0.6249 0.0000
CELL_PARAMETERS angstrom
-1.9015 1.9015 4.8538
1.9015 -1.9015 4.8538
1.9015 1.9015 -4.8538
```

Energy of formation from the pure elements = -926 meV per atom
Total energy = -34.977 eV for the cell shown
Spin magnetization = 0.14 Bohr magnetons per cell



Record 2
First-principles (PBE) data for an optimized crystal structure of Ho2MnNi12P3, as listed in Alexandria via LeMat-Bulk. Values from VASP.

Structure (Quantum ESPRESSO input):
```
&SYSTEM
  ibrav = 0, nat = 18, ntyp = 4
/
ATOMIC_SPECIES
Ho 164.93 Ho.upf
Mn 54.94 Mn.upf
Ni 58.69 Ni.upf
P 30.97 P.upf
ATOMIC_POSITIONS crystal
Ho 0.1554 0.1554 0.1554
Ho 0.8446 0.8446 0.8446
Mn 0.5000 0.5000 0.5000
Ni 0.1211 0.1212 0.6018
Ni 0.1211 0.6018 0.1211
Ni 0.1886 0.6808 0.6808
Ni 0.3192 0.3192 0.8114
Ni 0.3192 0.8114 0.3192
Ni 0.3982 0.8789 0.8788
Ni 0.6018 0.1211 0.1211
Ni 0.6808 0.1886 0.6808
Ni 0.6808 0.6808 0.1886
Ni 0.8114 0.3192 0.3192
Ni 0.8789 0.3982 0.8789
Ni 0.8789 0.8789 0.3982
P 0.0000 0.5000 0.5000
P 0.5000 0.0000 0.5000
P 0.5000 0.5000 0.0000
CELL_PARAMETERS angstrom
4.2182 2.4354 3.9031
-4.2182 2.4354 3.9031
0.0000 -4.8708 3.9031
```

Energy of formation from the pure elements = -148 meV per atom
Total energy = -106.586 eV for the cell shown
Spin magnetization = 5.13 Bohr magnetons per cell



Record 3
First-principles (PBE) data for an optimized crystal structure of Ho2MnNi4P3, as listed in Alexandria via LeMat-Bulk. Values from VASP.

Structure (Quantum ESPRESSO input):
```
&SYSTEM
  ibrav = 0, nat = 10, ntyp = 4
/
ATOMIC_SPECIES
Ho 164.93 Ho.upf
Mn 54.94 Mn.upf
Ni 58.69 Ni.upf
P 30.97 P.upf
ATOMIC_POSITIONS crystal
Ho 0.0000 0.5000 0.2406
Ho 0.5000 0.0000 0.7594
Mn 0.0000 0.0000 0.5000
Ni 0.0000 0.0000 0.0000
Ni 0.0000 0.5000 0.6390
Ni 0.5000 0.0000 0.3610
Ni 0.5000 0.5000 0.0000
P 0.0000 0.5000 0.8678
P 0.5000 0.0000 0.1322
P 0.5000 0.5000 0.5000
CELL_PARAMETERS angstrom
3.8484 0.0000 0.0000
0.0000 3.8484 0.0000
0.0000 0.0000 9.7080
```

Energy of formation from the pure elements = -866 meV per atom
Total energy = -66.336 eV for the cell shown
Spin magnetization = 3.74 Bohr magnetons per cell



Record 4
First-principles (PBE) data for an optimized crystal structure of HoPuMnNi, as listed in Alexandria via LeMat-Bulk. Values from VASP.

Structure (Quantum ESPRESSO input):
```
&SYSTEM
  ibrav = 0, nat = 4, ntyp = 4
/
ATOMIC_SPECIES
Ho 164.93 Ho.upf
Pu 244.00 Pu.upf
Mn 54.94 Mn.upf
Ni 58.69 Ni.upf
ATOMIC_POSITIONS crystal
Ho 0.0000 0.0000 0.0000
Pu 0.5000 0.5000 0.5000
Mn 0.7500 0.7500 0.7500
Ni 0.2500 0.2500 0.2500
CELL_PARAMETERS angstrom
0.0000 3.3722 3.3722
3.3722 0.0000 3.3722
3.3722 3.3722 0.0000
```

Energy of formation from the pure elements = 10 meV per atom
Total energy = -33.821 eV for the cell shown
Spin magnetization = 2.74 Bohr magnetons per cell



Record 5
First-principles (PBE) data for an optimized crystal structure of HoMnNiRh, as listed in Alexandria via LeMat-Bulk. Values from VASP.

Structure (Quantum ESPRESSO input):
```
&SYSTEM
  ibrav = 0, nat = 4, ntyp = 4
/
ATOMIC_SPECIES
Ho 164.93 Ho.upf
Mn 54.94 Mn.upf
Ni 58.69 Ni.upf
Rh 102.91 Rh.upf
ATOMIC_POSITIONS crystal
Ho 0.0000 0.0000 0.0000
Mn 0.5000 0.5000 0.5000
Ni 0.2500 0.2500 0.2500
Rh 0.7500 0.7500 0.7500
CELL_PARAMETERS angstrom
0.0000 3.2028 3.2028
3.2028 0.0000 3.2028
3.2028 3.2028 0.0000
```

Energy of formation from the pure elements = -319 meV per atom
Total energy = -28.156 eV for the cell shown
Spin magnetization = 4.46 Bohr magnetons per cell



Record 6
First-principles (PBE) data for an optimized crystal structure of Ho2MnSi2Ni5, as listed in Alexandria via LeMat-Bulk. Values from VASP.

Structure (Quantum ESPRESSO input):
```
&SYSTEM
  ibrav = 0, nat = 20, ntyp = 4
/
ATOMIC_SPECIES
Ho 164.93 Ho.upf
Mn 54.94 Mn.upf
Si 28.09 Si.upf
Ni 58.69 Ni.upf
ATOMIC_POSITIONS crystal
Ho 0.1779 0.3221 0.0000
Ho 0.3221 0.8221 0.0000
Ho 0.6779 0.1779 0.0000
Ho 0.8221 0.6779 0.0000
Mn 0.0000 0.0000 0.0000
Mn 0.5000 0.5000 0.0000
Si 0.1206 0.6206 0.0000
Si 0.3794 0.1206 0.0000
Si 0.6206 0.8794 0.0000
Si 0.8794 0.3794 0.0000
Ni 0.0000 0.5000 0.5000
Ni 0.0567 0.7908 0.5000
Ni 0.2092 0.0567 0.5000
Ni 0.2908 0.5567 0.5000
Ni 0.4433 0.2908 0.5000
Ni 0.5000 0.0000 0.5000
Ni 0.5567 0.7092 0.5000
Ni 0.7092 0.4433 0.5000
Ni 0.7908 0.9433 0.5000
Ni 0.9433 0.2092 0.5000
CELL_PARAMETERS angstrom
9.4888 0.0000 0.0000
0.0000 9.4888 0.0000
0.0000 0.0000 3.2861
```

Total energy = -124.423 eV for the cell shown
ΔE_f (raw) = -4.1 eV per formula unit
Spin magnetization = 7.09 Bohr magnetons per cell